No. 1
{
  "formula": "HfIrOs3",
  "functional": "PBE-GGA",
  "state": "optimized geometry",
  "magnetic_moment_mub_per_fu": 0.00,
  "n_ef_per_ev_atom": 1.51,
  "formation_energy_mev_per_atom": 2689,
  "lattice": [[4.682, 0.000, 0.000], [0.000, 4.682, 0.000], [0.000, 0.000, 4.682]],
  "species": ["Hf", "Ir", "Os", "Os", "Os"],
  "frac_coords": [[0.000, 0.000, 0.000], [0.500, 0.500, 0.500], [0.000, 0.000, 0.500], [0.000, 0.500, 0.000], [0.500, 0.000, 0.000]]
}

---

No. 2
{
  "formula": "Hf3Ir2Os",
  "functional": "PBE-GGA",
  "state": "optimized geometry",
  "magnetic_moment_mub_per_fu": 0.00,
  "n_ef_per_ev_atom": 0.58,
  "formation_energy_mev_per_atom": -818,
  "lattice": [[4.629, 0.000, 0.000], [0.000, 13.882, 0.000], [0.000, 0.000, 3.269]],
  "species": ["Hf", "Hf", "Hf", "Hf", "Hf", "Hf", "Ir", "Ir", "Ir", "Ir", "Os", "Os"],
  "frac_coords": [[0.250, 0.084, 0.002], [0.250, 0.416, 0.002], [0.250, 0.750, 0.996], [0.750, 0.250, 0.004], [0.750, 0.584, 0.998], [0.750, 0.916, 0.998], [0.250, 0.584, 0.480], [0.250, 0.916, 0.480], [0.750, 0.084, 0.520], [0.750, 0.416, 0.520], [0.250, 0.250, 0.490], [0.750, 0.750, 0.510]]
}

---

No. 3
{
  "formula": "Hf8Ir2Os",
  "functional": "PBE-GGA",
  "state": "optimized geometry",
  "magnetic_moment_mub_per_fu": 0.00,
  "n_ef_per_ev_atom": 0.66,
  "formation_energy_mev_per_atom": -464,
  "lattice": [[7.907, -2.304, 0.000], [7.907, 2.304, 0.000], [-1.139, 0.000, 6.162]],
  "species": ["Hf", "Hf", "Hf", "Hf", "Hf", "Hf", "Hf", "Hf", "Ir", "Ir", "Os"],
  "frac_coords": [[0.028, 0.028, 0.254], [0.195, 0.195, 0.814], [0.335, 0.335, 0.544], [0.412, 0.412, 0.055], [0.588, 0.588, 0.945], [0.665, 0.665, 0.456], [0.805, 0.805, 0.186], [0.972, 0.972, 0.746], [0.201, 0.201, 0.228], [0.799, 0.799, 0.772], [0.500, 0.500, 0.500]]
}

---

No. 4
{
  "formula": "HfPIr2Os",
  "functional": "PBE-GGA",
  "state": "optimized geometry",
  "magnetic_moment_mub_per_fu": 0.00,
  "n_ef_per_ev_atom": 0.79,
  "formation_energy_mev_per_atom": 1357,
  "lattice": [[4.705, 0.000, 0.000], [0.000, 4.705, 0.000], [0.000, 0.000, 4.994]],
  "species": ["Hf", "P", "Ir", "Ir", "Os"],
  "frac_coords": [[0.000, 0.000, 0.000], [0.500, 0.500, 0.000], [0.000, 0.500, 0.500], [0.500, 0.000, 0.500], [0.000, 0.000, 0.500]]
}

---

No. 5
{
  "formula": "PmHfIrOs",
  "functional": "PBE-GGA",
  "state": "optimized geometry",
  "magnetic_moment_mub_per_fu": 0.00,
  "n_ef_per_ev_atom": 0.45,
  "formation_energy_mev_per_atom": -407,
  "lattice": [[6.765, 0.000, 0.000], [0.000, 6.765, 0.000], [0.000, 0.000, 6.765]],
  "species": ["Pm", "Pm", "Pm", "Pm", "Hf", "Hf", "Hf", "Hf", "Ir", "Ir", "Ir", "Ir", "Os", "Os", "Os", "Os"],
  "frac_coords": [[0.000, 0.000, 0.000], [0.000, 0.500, 0.500], [0.500, 0.000, 0.500], [0.500, 0.500, 0.000], [0.000, 0.000, 0.500], [0.000, 0.500, 0.000], [0.500, 0.000, 0.000], [0.500, 0.500, 0.500], [0.250, 0.250, 0.750], [0.250, 0.750, 0.250], [0.750, 0.250, 0.250], [0.750, 0.750, 0.750], [0.250, 0.250, 0.250], [0.250, 0.750, 0.750], [0.750, 0.250, 0.750], [0.750, 0.750, 0.250]]
}

---

No. 6
{
  "formula": "RbHf2IrOs",
  "functional": "PBE-GGA",
  "state": "optimized geometry",
  "magnetic_moment_mub_per_fu": 0.00,
  "n_ef_per_ev_atom": 0.37,
  "formation_energy_mev_per_atom": 723,
  "lattice": [[5.072, 0.000, 0.000], [0.000, 5.072, 0.000], [0.000, 0.000, 4.974]],
  "species": ["Rb", "Hf", "Hf", "Ir", "Os"],
  "frac_coords": [[0.000, 0.000, 0.000], [0.000, 0.500, 0.500], [0.500, 0.000, 0.500], [0.500, 0.500, 0.000], [0.500, 0.500, 0.500]]
}

---

No. 7
{
  "formula": "HfRe2IrOs",
  "functional": "PBE-GGA",
  "state": "optimized geometry",
  "magnetic_moment_mub_per_fu": 0.00,
  "n_ef_per_ev_atom": 1.04,
  "formation_energy_mev_per_atom": 2708,
  "lattice": [[4.660, 0.000, 0.000], [0.000, 4.660, 0.000], [0.000, 0.000, 4.661]],
  "species": ["Hf", "Re", "Re", "Ir", "Os"],
  "frac_coords": [[0.000, 0.000, 0.000], [0.000, 0.500, 0.000], [0.500, 0.000, 0.000], [0.500, 0.500, 0.500], [0.000, 0.000, 0.500]]
}

---

No. 8
{
  "formula": "YHfIrOs",
  "functional": "PBE-GGA",
  "state": "optimized geometry",
  "magnetic_moment_mub_per_fu": 0.00,
  "n_ef_per_ev_atom": 0.34,
  "formation_energy_mev_per_atom": -591,
  "lattice": [[6.675, 0.000, 0.000], [0.000, 6.675, 0.000], [0.000, 0.000, 6.675]],
  "species": ["Y", "Y", "Y", "Y", "Hf", "Hf", "Hf", "Hf", "Ir", "Ir", "Ir", "Ir", "Os", "Os", "Os", "Os"],
  "frac_coords": [[0.000, 0.000, 0.000], [0.000, 0.500, 0.500], [0.500, 0.000, 0.500], [0.500, 0.500, 0.000], [0.000, 0.000, 0.500], [0.000, 0.500, 0.000], [0.500, 0.000, 0.000], [0.500, 0.500, 0.500], [0.250, 0.250, 0.250], [0.250, 0.750, 0.750], [0.750, 0.250, 0.750], [0.750, 0.750, 0.250], [0.250, 0.250, 0.750], [0.250, 0.750, 0.250], [0.750, 0.250, 0.250], [0.750, 0.750, 0.750]]
}

---

No. 9
{
  "formula": "Hf4PIr",
  "functional": "PBE-GGA",
  "state": "optimized geometry",
  "magnetic_moment_mub_per_fu": 0.00,
  "n_ef_per_ev_atom": 0.82,
  "formation_energy_mev_per_atom": -468,
  "lattice": [[6.687, 0.000, 0.000], [0.000, 5.953, 0.000], [-2.409, 0.000, 6.593]],
  "species": ["Hf", "Hf", "Hf", "Hf", "Hf", "Hf", "Hf", "Hf", "P", "P", "Ir", "Ir"],
  "frac_coords": [[0.171, 0.227, 0.326], [0.171, 0.273, 0.826], [0.328, 0.713, 0.221], [0.328, 0.787, 0.721], [0.672, 0.213, 0.279], [0.672, 0.287, 0.779], [0.829, 0.727, 0.174], [0.829, 0.773, 0.674], [0.500, 0.000, 0.500], [0.500, 0.500, 0.000], [0.000, 0.000, 0.000], [0.000, 0.500, 0.500]]
}

---

No. 10
{
  "formula": "HfP3Ir",
  "functional": "PBE-GGA",
  "state": "optimized geometry",
  "magnetic_moment_mub_per_fu": 0.00,
  "n_ef_per_ev_atom": 0.35,
  "formation_energy_mev_per_atom": 1157,
  "lattice": [[4.853, 0.000, 0.000], [0.000, 4.853, 0.000], [0.000, 0.000, 4.853]],
  "species": ["Hf", "P", "P", "P", "Ir"],
  "frac_coords": [[0.000, 0.000, 0.000], [0.000, 0.000, 0.500], [0.000, 0.500, 0.000], [0.500, 0.000, 0.000], [0.500, 0.500, 0.500]]
}

---

No. 11
{
  "formula": "HfP2Ir",
  "functional": "PBE-GGA",
  "state": "optimized geometry",
  "magnetic_moment_mub_per_fu": 0.00,
  "n_ef_per_ev_atom": 0.64,
  "formation_energy_mev_per_atom": -450,
  "lattice": [[4.308, 0.000, 0.000], [0.000, 4.308, 0.000], [0.000, 0.000, 15.391]],
  "species": ["Hf", "Hf", "Hf", "Hf", "P", "P", "P", "P", "P", "P", "P", "P", "Ir", "Ir", "Ir", "Ir"],
  "frac_coords": [[0.000, 0.000, 0.000], [0.000, 0.500, 0.250], [0.500, 0.000, 0.750], [0.500, 0.500, 0.500], [0.194, 0.250, 0.625], [0.250, 0.694, 0.875], [0.250, 0.806, 0.375], [0.306, 0.250, 0.125], [0.694, 0.750, 0.125], [0.750, 0.194, 0.375], [0.750, 0.306, 0.875], [0.806, 0.750, 0.625], [0.000, 0.000, 0.500], [0.000, 0.500, 0.750], [0.500, 0.000, 0.250], [0.500, 0.500, 0.000]]
}

---

No. 12
{
  "formula": "HfP2Ir2",
  "functional": "PBE-GGA",
  "state": "optimized geometry",
  "magnetic_moment_mub_per_fu": 0.00,
  "n_ef_per_ev_atom": 0.65,
  "formation_energy_mev_per_atom": -399,
  "lattice": [[3.778, 0.000, 0.000], [0.000, 3.778, 0.000], [0.000, 0.000, 11.299]],
  "species": ["Hf", "Hf", "P", "P", "P", "P", "Ir", "Ir", "Ir", "Ir"],
  "frac_coords": [[0.000, 0.000, 0.000], [0.500, 0.500, 0.500], [0.000, 0.500, 0.250], [0.000, 0.500, 0.750], [0.500, 0.000, 0.250], [0.500, 0.000, 0.750], [0.000, 0.000, 0.383], [0.000, 0.000, 0.617], [0.500, 0.500, 0.117], [0.500, 0.500, 0.883]]
}

---

No. 13
{
  "formula": "Hf6PIr3",
  "functional": "PBE-GGA",
  "state": "optimized geometry",
  "magnetic_moment_mub_per_fu": 0.00,
  "n_ef_per_ev_atom": 0.83,
  "formation_energy_mev_per_atom": -688,
  "lattice": [[6.223, 0.000, 0.000], [0.000, 7.012, 0.000], [-5.850, 0.000, 9.267]],
  "species": ["Hf", "Hf", "Hf", "Hf", "Hf", "Hf", "Hf", "Hf", "Hf", "Hf", "Hf", "Hf", "P", "P", "Ir", "Ir", "Ir", "Ir", "Ir", "Ir"],
  "frac_coords": [[0.073, 0.051, 0.249], [0.073, 0.449, 0.749], [0.215, 0.673, 0.072], [0.215, 0.827, 0.572], [0.413, 0.165, 0.069], [0.413, 0.335, 0.569], [0.587, 0.665, 0.431], [0.587, 0.835, 0.931], [0.785, 0.173, 0.428], [0.785, 0.327, 0.928], [0.927, 0.551, 0.251], [0.927, 0.949, 0.751], [0.000, 0.000, 0.000], [0.000, 0.500, 0.500], [0.309, 0.121, 0.750], [0.309, 0.379, 0.250], [0.500, 0.000, 0.500], [0.500, 0.500, 0.000], [0.691, 0.621, 0.750], [0.691, 0.879, 0.250]]
}

---

No. 14
{
  "formula": "Hf8PIr2",
  "functional": "PBE-GGA",
  "state": "optimized geometry",
  "magnetic_moment_mub_per_fu": 0.00,
  "n_ef_per_ev_atom": 0.76,
  "formation_energy_mev_per_atom": -513,
  "lattice": [[8.522, -2.314, 0.000], [8.522, 2.314, 0.000], [-1.881, 0.000, 5.633]],
  "species": ["Hf", "Hf", "Hf", "Hf", "Hf", "Hf", "Hf", "Hf", "P", "Ir", "Ir"],
  "frac_coords": [[0.020, 0.020, 0.270], [0.211, 0.211, 0.852], [0.329, 0.329, 0.488], [0.407, 0.407, 0.035], [0.593, 0.593, 0.965], [0.671, 0.671, 0.512], [0.789, 0.789, 0.148], [0.980, 0.980, 0.730], [0.500, 0.500, 0.500], [0.167, 0.167, 0.243], [0.833, 0.833, 0.757]]
}

---

No. 15
{
  "formula": "Hf6PIr2",
  "functional": "PBE-GGA",
  "state": "optimized geometry",
  "magnetic_moment_mub_per_fu": 0.00,
  "n_ef_per_ev_atom": 0.86,
  "formation_energy_mev_per_atom": -671,
  "lattice": [[5.899, 0.000, 0.000], [0.000, 6.694, 0.000], [-5.557, 0.000, 9.265]],
  "species": ["Hf", "Hf", "Hf", "Hf", "Hf", "Hf", "Hf", "Hf", "Hf", "Hf", "Hf", "Hf", "P", "P", "Ir", "Ir", "Ir", "Ir"],
  "frac_coords": [[0.084, 0.194, 0.436], [0.084, 0.306, 0.936], [0.274, 0.657, 0.441], [0.274, 0.843, 0.941], [0.399, 0.039, 0.242], [0.399, 0.461, 0.742], [0.601, 0.539, 0.258], [0.601, 0.961, 0.758], [0.726, 0.157, 0.059], [0.726, 0.343, 0.559], [0.916, 0.694, 0.064], [0.916, 0.806, 0.564], [0.500, 0.000, 0.500], [0.500, 0.500, 0.000], [0.165, 0.117, 0.736], [0.165, 0.383, 0.236], [0.835, 0.617, 0.764], [0.835, 0.883, 0.264]]
}

---

No. 16
{
  "formula": "Hf3PIr",
  "functional": "PBE-GGA",
  "state": "optimized geometry",
  "magnetic_moment_mub_per_fu": 0.00,
  "n_ef_per_ev_atom": 0.71,
  "formation_energy_mev_per_atom": -135,
  "lattice": [[4.703, 0.000, 0.000], [0.000, 4.703, 0.000], [0.000, 0.000, 4.703]],
  "species": ["Hf", "Hf", "Hf", "P", "Ir"],
  "frac_coords": [[0.000, 0.000, 0.500], [0.000, 0.500, 0.000], [0.500, 0.000, 0.000], [0.000, 0.000, 0.000], [0.500, 0.500, 0.500]]
}

---

No. 17
{
  "formula": "HfP3Ir",
  "functional": "PBE-GGA",
  "state": "optimized geometry",
  "magnetic_moment_mub_per_fu": 0.00,
  "n_ef_per_ev_atom": 0.93,
  "formation_energy_mev_per_atom": 573,
  "lattice": [[4.604, 0.000, 0.000], [0.000, 4.604, 0.000], [0.000, 0.000, 4.604]],
  "species": ["Hf", "P", "P", "P", "Ir"],
  "frac_coords": [[0.000, 0.000, 0.000], [0.000, 0.500, 0.500], [0.500, 0.000, 0.500], [0.500, 0.500, 0.000], [0.500, 0.500, 0.500]]
}

---

No. 18
{
  "formula": "HfPIr3",
  "functional": "PBE-GGA",
  "state": "optimized geometry",
  "magnetic_moment_mub_per_fu": 0.55,
  "n_ef_per_ev_atom": 1.36,
  "formation_energy_mev_per_atom": 1823,
  "lattice": [[4.824, 0.000, 0.000], [0.000, 4.824, 0.000], [0.000, 0.000, 4.824]],
  "species": ["Hf", "P", "Ir", "Ir", "Ir"],
  "frac_coords": [[0.000, 0.000, 0.000], [0.500, 0.500, 0.500], [0.000, 0.000, 0.500], [0.000, 0.500, 0.000], [0.500, 0.000, 0.000]]
}

---

No. 19
{
  "formula": "Hf2P2Ir",
  "functional": "PBE-GGA",
  "state": "optimized geometry",
  "magnetic_moment_mub_per_fu": 0.00,
  "n_ef_per_ev_atom": 0.85,
  "formation_energy_mev_per_atom": -885,
  "lattice": [[6.602, 0.000, 0.000], [0.000, 6.602, 0.000], [0.000, 0.000, 3.663]],
  "species": ["Hf", "Hf", "Hf", "Hf", "P", "P", "P", "P", "Ir", "Ir"],
  "frac_coords": [[0.160, 0.340, 0.000], [0.340, 0.840, 0.000], [0.660, 0.160, 0.000], [0.840, 0.660, 0.000], [0.145, 0.645, 0.500], [0.355, 0.145, 0.500], [0.645, 0.855, 0.500], [0.855, 0.355, 0.500], [0.000, 0.000, 0.500], [0.500, 0.500, 0.500]]
}

---

No. 20
{
  "formula": "HfPIr",
  "functional": "PBE-GGA",
  "state": "optimized geometry",
  "magnetic_moment_mub_per_fu": 0.00,
  "n_ef_per_ev_atom": 0.22,
  "formation_energy_mev_per_atom": -1087,
  "lattice": [[6.479, 0.000, 0.000], [0.000, 3.861, 0.000], [-0.067, 0.000, 11.063]],
  "species": ["Hf", "Hf", "Hf", "Hf", "Hf", "Hf", "P", "P", "P", "P", "P", "P", "Ir", "Ir", "Ir", "Ir", "Ir", "Ir"],
  "frac_coords": [[0.027, 0.250, 0.212], [0.347, 0.750, 0.579], [0.469, 0.750, 0.880], [0.531, 0.250, 0.120], [0.653, 0.250, 0.421], [0.973, 0.750, 0.788], [0.243, 0.250, 0.418], [0.243, 0.750, 0.084], [0.267, 0.250, 0.751], [0.733, 0.750, 0.249], [0.757, 0.250, 0.916], [0.757, 0.750, 0.582], [0.019, 0.250, 0.593], [0.152, 0.250, 0.959], [0.370, 0.750, 0.294], [0.630, 0.250, 0.706], [0.848, 0.750, 0.041], [0.981, 0.750, 0.407]]
}

---

No. 21
{
  "formula": "HfPIr3",
  "functional": "PBE-GGA",
  "state": "optimized geometry",
  "magnetic_moment_mub_per_fu": 0.00,
  "n_ef_per_ev_atom": 1.69,
  "formation_energy_mev_per_atom": 82,
  "lattice": [[4.431, 0.000, 0.000], [0.000, 4.431, 0.000], [0.000, 0.000, 4.431]],
  "species": ["Hf", "P", "Ir", "Ir", "Ir"],
  "frac_coords": [[0.000, 0.000, 0.000], [0.500, 0.500, 0.500], [0.000, 0.500, 0.500], [0.500, 0.000, 0.500], [0.500, 0.500, 0.000]]
}

---

No. 22
{
  "formula": "Hf3PIr",
  "functional": "PBE-GGA",
  "state": "optimized geometry",
  "magnetic_moment_mub_per_fu": 0.00,
  "n_ef_per_ev_atom": 0.68,
  "formation_energy_mev_per_atom": -646,
  "lattice": [[8.202, 0.000, 0.000], [0.000, 5.857, 0.000], [-5.239, 0.000, 7.827]],
  "species": ["Hf", "Hf", "Hf", "Hf", "Hf", "Hf", "Hf", "Hf", "Hf", "Hf", "Hf", "Hf", "P", "P", "P", "P", "Ir", "Ir", "Ir", "Ir"],
  "frac_coords": [[0.040, 0.057, 0.328], [0.040, 0.443, 0.828], [0.319, 0.202, 0.708], [0.319, 0.298, 0.208], [0.389, 0.715, 0.904], [0.389, 0.785, 0.404], [0.611, 0.215, 0.596], [0.611, 0.285, 0.096], [0.681, 0.702, 0.792], [0.681, 0.798, 0.292], [0.960, 0.557, 0.172], [0.960, 0.943, 0.672], [0.273, 0.097, 0.952], [0.273, 0.403, 0.452], [0.727, 0.597, 0.548], [0.727, 0.903, 0.048], [0.157, 0.685, 0.559], [0.157, 0.815, 0.059], [0.843, 0.185, 0.941], [0.843, 0.315, 0.441]]
}

---

No. 23
{
  "formula": "HfP2Ir",
  "functional": "PBE-GGA",
  "state": "optimized geometry",
  "magnetic_moment_mub_per_fu": 0.00,
  "n_ef_per_ev_atom": 0.62,
  "formation_energy_mev_per_atom": -402,
  "lattice": [[6.223, 0.000, 0.000], [0.000, 6.223, 0.000], [0.000, 0.000, 6.223]],
  "species": ["Hf", "Hf", "Hf", "Hf", "P", "P", "P", "P", "P", "P", "P", "P", "Ir", "Ir", "Ir", "Ir"],
  "frac_coords": [[0.000, 0.000, 0.000], [0.000, 0.500, 0.500], [0.500, 0.000, 0.500], [0.500, 0.500, 0.000], [0.250, 0.250, 0.250], [0.250, 0.250, 0.750], [0.250, 0.750, 0.250], [0.250, 0.750, 0.750], [0.750, 0.250, 0.250], [0.750, 0.250, 0.750], [0.750, 0.750, 0.250], [0.750, 0.750, 0.750], [0.000, 0.000, 0.500], [0.000, 0.500, 0.000], [0.500, 0.000, 0.000], [0.500, 0.500, 0.500]]
}

---

No. 24
{
  "formula": "RbHfP2Ir",
  "functional": "PBE-GGA",
  "state": "optimized geometry",
  "magnetic_moment_mub_per_fu": 0.74,
  "n_ef_per_ev_atom": 1.27,
  "formation_energy_mev_per_atom": 1104,
  "lattice": [[4.663, 0.000, 0.000], [0.000, 4.663, 0.000], [0.000, 0.000, 5.594]],
  "species": ["Rb", "Hf", "P", "P", "Ir"],
  "frac_coords": [[0.000, 0.000, 0.000], [0.500, 0.500, 0.000], [0.000, 0.500, 0.500], [0.500, 0.000, 0.500], [0.000, 0.000, 0.500]]
}